DFT (GGA-PBEsol) results for crystalline LaMgSc at its relaxed geometry.

Structure (extended XYZ):
```
3
Lattice="-1.7839 1.7839 6.4388 1.7839 -1.7839 6.4388 1.7839 1.7839 -6.4388" Properties=species:S:1:pos:R:3 pbc="T T T"
La 0.0000 0.0000 0.0000
Mg 0.0000 0.0000 8.7864
Sc 0.0000 0.0000 4.1862
```

Calculated values
The symmetry is I4mm. Its energy of formation is 7 meV per atom.

---

DFT (GGA-PBEsol) results for crystalline La2MgSe at its relaxed geometry.

Structure (extended XYZ):
```
4
Lattice="5.4462 0.0000 0.0000 0.0000 5.4462 0.0000 0.0000 0.0000 3.5944" Properties=species:S:1:pos:R:3 pbc="T T T"
La 0.0000 2.7231 0.0000
La 2.7231 0.0000 0.0000
Mg 0.0000 0.0000 1.7972
Se 2.7231 2.7231 1.7972
```

Calculated values
The symmetry is P4/mmm. The energy above the most stable polymorph in this dataset is 13 meV per atom. For the uncorrected formation energy, the calculation gives -0.760 eV per atom.

---

DFT (GGA-PBEsol) results for crystalline La2MgSe4 at its relaxed geometry.

Structure (extended XYZ):
```
14
Lattice="-4.3321 4.3321 4.5824 4.3321 -4.3321 4.5824 4.3321 4.3321 -4.5824" Properties=species:S:1:pos:R:3 pbc="T T T"
La 6.4982 1.0905 -1.1456
La 1.0905 2.1661 1.1456
La -2.1661 3.2416 3.4368
La 3.2416 2.1661 5.7280
Mg 4.3321 0.0000 2.2912
Mg 0.0000 0.0000 4.5824
Se 1.6741 -0.6173 1.8187
Se 3.7148 1.6741 -0.4725
Se 2.6580 4.9494 -2.7636
Se 2.6580 -0.6173 5.0548
Se 3.7148 2.6580 2.7636
Se 1.6741 4.9494 0.4725
Se 0.6173 2.6580 4.1099
Se 0.6173 1.6741 7.3460
```

Calculated values
The symmetry is I-42d. The energy above the most stable polymorph in this dataset is 0 meV per atom. For the uncorrected formation energy, the calculation gives -1.756 eV per atom.

---

DFT (GGA-PBEsol) results for crystalline La2MgSe at its relaxed geometry.

Structure (extended XYZ):
```
4
Lattice="3.4148 -4.1807 0.0000 3.4148 4.1807 0.0000 0.0000 0.0000 3.6844" Properties=species:S:1:pos:R:3 pbc="T T T"
La 1.7074 2.0903 0.0000
La 1.7074 -2.0903 0.0000
Mg 0.0000 0.0000 1.8422
Se 3.4148 0.0000 1.8422
```

Calculated values
The symmetry is Cmmm. The energy above the most stable polymorph in this dataset is 0 meV per atom. For the uncorrected formation energy, the calculation gives -0.773 eV per atom.